1.
## BaP2PdO (PBE)

Data for BaP2PdO after structural relaxation.

## Properties
Symmetry   No. 123
Excess energy over the best structure of this formula in the dataset   0 meV/atom
Final energy   -4.83 eV/atom

extended XYZ file:
```
5
Lattice="4.586 0.000 0.000 0.000 4.586 0.000 0.000 0.000 4.980" Properties=species:S:1:pos:R:3 pbc="T T T"
Ba 0.000 0.000 0.000
P 0.000 2.293 2.490
P 2.293 0.000 2.490
Pd 2.293 2.293 2.490
O 2.293 2.293 0.000
```



2.
## BaP2PdO7 (PBE)

Data for BaP2PdO7 after structural relaxation.

## Properties
Symmetry   No. 62
Final energy   -6.95 eV/atom

extended XYZ file:
```
44
Lattice="14.067 0.000 0.000 0.000 6.270 0.000 0.000 0.000 7.719" Properties=species:S:1:pos:R:3 pbc="T T T"
Ba 3.496 1.567 1.926
Ba 3.538 4.702 5.786
Ba 10.529 1.567 1.933
Ba 10.571 4.702 5.792
P 1.407 4.702 1.575
P 1.476 1.567 6.099
P 5.557 4.702 2.240
P 5.626 1.567 5.435
P 8.440 4.702 2.284
P 8.510 1.567 5.479
P 12.591 4.702 1.620
P 12.660 1.567 6.144
Pd 0.000 0.000 3.859
Pd 0.000 3.135 3.859
Pd 7.033 0.000 0.000
Pd 7.033 3.135 0.000
O 0.047 1.567 6.877
O 1.456 3.407 2.442
O 1.456 5.998 2.442
O 1.504 0.274 5.228
O 1.504 2.861 5.228
O 2.483 4.702 0.532
O 2.582 1.567 7.112
O 4.452 4.702 3.253
O 4.550 1.567 4.391
O 5.529 3.409 1.369
O 5.529 5.996 1.369
O 5.578 0.272 6.301
O 5.578 2.863 6.301
O 6.986 4.702 3.018
O 7.080 1.567 4.701
O 8.489 3.407 1.417
O 8.489 5.998 1.417
O 8.537 0.274 6.350
O 8.537 2.861 6.350
O 9.517 4.702 3.327
O 9.615 1.567 4.466
O 11.485 4.702 0.606
O 11.584 1.567 7.187
O 12.563 3.409 2.491
O 12.563 5.996 2.491
O 12.611 0.272 5.277
O 12.611 2.863 5.277
O 14.020 4.702 0.841
```



| no. | ΔE_f (raw) (eV/atom) |
| --- | --- |
| 1 | -0.249 |
| 2 | -2.165 |